Compound: Dy4Ho5Er2
Source: the Alexandria database
Functional: PBE-GGA
Structure: optimized geometry

Calculated values
As for the final energy: -0.1662 Ha/atom. Its magnetic moment is 0.0 μB/f.u.

a b c (Å): 3.617 9.822 12.546
angles (deg): 123.84 81.73 111.63
Atoms (fractional coordinates):
Dy: 0.674 0.647 0.946
Er: 0.892 0.278 0.772
Ho: 0.500 0.000 0.000
Dy: 0.754 0.426 0.343
Ho: 0.579 0.828 0.498
Er: 0.108 0.722 0.228
Dy: 0.246 0.574 0.657
Dy: 0.326 0.353 0.054
Ho: 0.421 0.172 0.502
Ho: 0.921 0.039 0.236
Ho: 0.079 0.961 0.764

Compound: K2Ru
Source: the Alexandria database
Functional: PBE-GGA
Structure: optimized geometry

Calculated values
As for the final energy: -0.0977 Ha/atom. Its magnetic moment is 1.7 μB/f.u.

a b c (Å): 9.593 9.593 9.593
angles (deg): 160.78 160.78 27.31
Each line ends with the local moment (μB).
Atoms (fractional coordinates):
K: 0.631 0.631 0.000  -0.01
Ru: 0.000 0.000 0.000  1.58
K: 0.369 0.369 0.000  -0.01

Number 1: energy of formation from the pure elements 0.0605 eV/atom, energy relative to the lowest polymorph listed for this composition 0.0 meV/atom. Number 2: energy of formation from the pure elements 1.1659 eV/atom, energy relative to the lowest polymorph listed for this composition 554.7 meV/atom.